# 1
# Rb3SbRu

A relaxed Rb3SbRu crystal (GGA-PBE, the Alexandria database).

Its volume is 251.2 Å³ per cell. The uncorrected energy comes out at -2.31 eV per atom.

It has space group Pm-3m (No. 221), with a = 6.310 Å, b = 6.310 Å, c = 6.310 Å, α = 90.00°, β = 90.00° and γ = 90.00°. The inequivalent atoms are Rb at (0.000, 0.000, 0.500), Sb at (0.500, 0.500, 0.500) and Ru at (0.000, 0.000, 0.000).

=====

# 2
# ZrSbTe2As

A relaxed ZrSbTe2As crystal (GGA-PBE, the Alexandria database).

Its volume is 173.9 Å³ per cell. As for the energy above the most stable polymorph in this dataset: 0.0 meV/atom. The uncorrected energy comes out at -4.34 eV per atom.

It has space group P4/mmm (No. 123), with a = 5.525 Å, b = 5.525 Å, c = 5.696 Å, α = 90.00°, β = 90.00° and γ = 90.00°. The inequivalent atoms are Zr at (0.000, 0.000, 0.000), Sb at (0.000, 0.000, 0.500), Te at (0.000, 0.500, 0.000) and As at (0.500, 0.500, 0.500).

=====

# 3
# Li2LaGeAu4

A relaxed Li2LaGeAu4 crystal (GGA-PBE, the Alexandria database).

Its volume is 477.6 Å³ per cell. The uncorrected energy comes out at -3.84 eV per atom.

It has space group R-3m (No. 166, hexagonal axes), with a = 4.5299 Å, b = 4.5299 Å, c = 26.8732 Å, α = 90.00°, β = 90.00° and γ = 120.00°. The inequivalent atoms are Li at (0.0000, 0.0000, 0.2332), La at (0.0000, 0.0000, 0.0000), Ge at (0.0000, 0.0000, 0.5000), Au at (0.0000, 0.0000, 0.1263) and Au at (0.0000, 0.0000, 0.3984).

=====

Among the records above, which one has the highest volume?
Li2LaGeAu4

=====

Number 3 is which compound?
Li2LaGeAu4